{"formula": "BiOs3Br", "functional": "GGA-PBE", "state": "relaxed", "crystal_system": "cubic", "spacegroup": "Pm-3m (221)", "formation_energy_uncorrected_ev_per_atom": 2.2623, "e_above_lowest_polymorph_mev_per_atom": 0, "lattice_angstrom": [[-0.488, 2.283, -4.030], [-1.701, -3.857, -1.979], [-4.308, 1.265, 1.238]], "species": ["Os", "Os", "Os", "Bi", "Br"], "fractional_positions": [[0.500, 0.000, 0.000], [0.000, 0.500, 0.000], [0.000, 0.000, 0.500], [0.500, 0.500, 0.500], [0.000, 0.000, 0.000]]}



{"formula": "YTaAs2", "functional": "GGA-PBE", "state": "relaxed", "crystal_system": "orthorhombic", "spacegroup": "Amm2 (38)", "e_above_lowest_polymorph_mev_per_atom": 167, "e_form_ev_per_atom": -0.6542, "lattice_angstrom": [[-0.721, 3.550, 3.332], [-0.226, -2.524, 2.640], [4.675, -0.950, 2.024]], "species": ["Y", "As", "As", "Ta"], "fractional_positions": [[0.500, 0.660, 0.804], [0.500, 0.378, 0.369], [0.000, 0.084, 0.956], [0.000, 0.378, 0.370]]}



{"formula": "Nd2Ho8Ga", "functional": "GGA-PBE", "state": "relaxed", "crystal_system": "monoclinic", "spacegroup": "C2/m (12)", "e_form_ev_per_atom": -0.0197, "lattice_angstrom": [[5.421, 0.000, 0.000], [0.000, 7.390, -0.222], [-2.710, -3.424, 8.685]], "species": ["Ho", "Ho", "Ho", "Ho", "Ho", "Ho", "Ho", "Ho", "Nd", "Nd", "Ga"], "fractional_positions": [[0.369, 0.609, 0.738], [0.817, 0.816, 0.634], [0.183, 0.184, 0.366], [0.000, 0.243, 0.999], [0.000, 0.757, 0.001], [0.368, 0.127, 0.737], [0.631, 0.391, 0.262], [0.632, 0.873, 0.263], [0.808, 0.308, 0.616], [0.192, 0.692, 0.384], [0.500, 0.000, 0.000]]}



{"formula": "CaAuN3", "functional": "GGA-PBE", "state": "relaxed", "crystal_system": "cubic", "spacegroup": "Pm-3m (221)", "formation_energy_uncorrected_ev_per_atom": 2.5069, "lattice_angstrom": [[-3.318, 2.164, 1.664], [0.261, -2.355, 3.584], [2.717, 2.869, 1.688]], "species": ["Au", "N", "N", "N", "Ca"], "fractional_positions": [[0.500, 0.500, 0.500], [0.500, 0.000, 0.000], [0.000, 0.500, 0.000], [0.000, 0.000, 0.500], [0.000, 0.000, 0.000]]}